Computed, not measured: a geometry-optimized Li2CrAg structure at the PBE-GGA level of DFT.

Geometry as POSCAR:
```
Li2CrAg
1.0
0.000 3.030 3.030
3.030 0.000 3.030
3.030 3.030 0.000
Li Cr Ag
2 1 1
direct
0.250 0.250 0.250 Li
0.750 0.750 0.750 Li
0.000 0.000 0.000 Cr
0.500 0.500 0.500 Ag
```

Computed properties:
Offset from the most stable computed form, meV/atom: 484
E, eV per atom: -3.37
Space group: Fm-3m (225)



Computed, not measured: a geometry-optimized Li2CrAg structure at the PBE-GGA level of DFT.

Geometry as POSCAR:
```
Li2CrAg
1.0
-2.094 2.094 3.820
2.094 -2.094 3.820
2.094 2.094 -3.820
Li Cr Ag
2 1 1
direct
0.000 0.000 0.000 Li
0.750 0.250 0.500 Li
0.500 0.500 0.000 Cr
0.250 0.750 0.500 Ag
```

Computed properties:
Offset from the most stable computed form, meV/atom: 12
E, eV per atom: -3.84
Space group: I-4m2 (119)



Computed, not measured: a geometry-optimized Li2CrAg structure at the PBE-GGA level of DFT.

Geometry as POSCAR:
```
Li2CrAg
1.0
1.362 0.786 9.344
-1.362 0.786 9.344
0.000 -1.572 9.344
Li Cr Ag
2 1 1
direct
0.248 0.248 0.248 Li
0.752 0.752 0.752 Li
0.500 0.500 0.500 Cr
0.000 0.000 0.000 Ag
```

Computed properties:
Offset from the most stable computed form, meV/atom: 112
E, eV per atom: -3.74
Space group: R-3m (166)



Computed, not measured: a geometry-optimized Li4CrAg structure at the PBE-GGA level of DFT.

Geometry as POSCAR:
```
Li4CrAg
1.0
0.000 3.650 3.650
3.650 0.000 3.650
3.650 3.650 0.000
Li Cr Ag
4 1 1
direct
0.125 0.125 0.125 Li
0.125 0.125 0.625 Li
0.125 0.625 0.125 Li
0.625 0.125 0.125 Li
0.500 0.500 0.500 Cr
0.750 0.750 0.750 Ag
```

Computed properties:
E, eV per atom: -3.11
Space group: F-43m (216)



Calculated values (eV/atom) of DFT formation energy for the records, taken in order: 0.706 0.234 0.334 0.241.